NdCuMoO5: relaxed, GGA+U.

Lattice parameters (Å, degrees): 6.208 6.208 8.744 111.45 111.45 86.68
Element x y z (fractional)
1 Nd 0.000 0.000 0.000
2 Nd 0.000 0.000 0.500
3 Cu 0.305 0.695 0.750
4 Cu 0.695 0.305 0.250
5 Mo 0.391 0.609 0.250
6 Mo 0.609 0.391 0.750
7 O 0.087 0.913 0.750
8 O 0.251 0.710 0.074
9 O 0.290 0.749 0.426
10 O 0.292 0.333 0.668
11 O 0.333 0.292 0.168
12 O 0.667 0.708 0.832
13 O 0.708 0.667 0.332
14 O 0.710 0.251 0.574
15 O 0.749 0.290 0.926
16 O 0.913 0.087 0.250

- Volume: 290.8 Å³ per cell
- E: -6.976 eV per atom
- Symmetry: C2/c, No. 15